The following is a PBE-GGA calculation of an optimized crystal structure of CaNi2Te, from Alexandria.

Cell and atoms, written as extended XYZ:
```
4
Lattice="4.1247 0.0000 0.0000 0.0000 4.1417 -0.0329 0.0000 0.0401 5.0760" Properties=species:S:1:pos:R:3 pbc="T T T"
Ni 0.0000 1.0587 2.6284
Ni 4.1247 1.0724 4.9691
Ca 2.0623 3.1364 3.7823
Te 2.0623 1.0455 1.2608
```

## Properties
energy relative to the elements, uncorrected: -252 meV per atom
mass density: 5.46 g cm⁻³
electronic total energy: -0.325 Ry/atom

---

The following is a PBE-GGA calculation of an optimized crystal structure of Se3OF, from Alexandria.

Cell and atoms, written as extended XYZ:
```
5
Lattice="-2.3105 -1.7040 -3.3810 3.7421 -1.6302 -1.7356 -0.5759 -3.7566 2.2868" Properties=species:S:1:pos:R:3 pbc="T T T"
O 0.0000 0.0000 0.0000
F 0.4279 -3.5454 -1.4149
Se 1.8710 -0.8151 -0.8678
Se -0.2879 -1.8783 1.1434
Se -1.1552 -0.8520 -1.6905
```

## Properties
energy relative to the elements, uncorrected: 468 meV per atom
energy above the lowest structure with this stoichiometry: 0 meV per atom
mass density: 5.17 g cm⁻³
electronic total energy: -0.220 Ry/atom

---

The following is a PBE-GGA calculation of an optimized crystal structure of Hf3ZrMn2, from Alexandria.

Cell and atoms, written as extended XYZ:
```
6
Lattice="-3.0989 -0.0564 -0.7722 0.3401 -2.9610 -1.1485 -2.3151 -3.9822 9.5812" Properties=species:S:1:pos:R:3 pbc="T T T"
Zr -2.5369 -3.4999 3.8302
Hf -0.6725 -1.1567 2.7830
Hf 0.0000 0.0000 0.0000
Hf -1.6427 -2.8255 6.7982
Mn -1.7314 -2.1143 0.4965
Mn -3.3425 -4.8854 7.1639
```

## Properties
calculated formation energy: -42 kJ/mol of formula units
mass density: 11.28 g cm⁻³
electronic total energy: -0.701 Ry/atom

---

The following is a PBE-GGA calculation of an optimized crystal structure of Ag4Te2Se, from Alexandria.

Cell and atoms, written as extended XYZ:
```
7
Lattice="4.5326 0.0000 0.0000 0.0000 7.3931 0.0068 -2.2663 -3.6100 5.1443" Properties=species:S:1:pos:R:3 pbc="T T T"
Te 0.0000 0.2555 3.6900
Te 2.2663 3.5277 1.4611
Ag 2.2663 0.6234 1.4684
Ag 0.0000 3.1598 3.6827
Ag 2.2663 -1.4739 3.4632
Ag 0.0000 5.2571 1.6879
Se 0.0000 0.0000 0.0000
```

## Properties
energy relative to the elements, uncorrected: -24 meV per atom
energy above the lowest structure with this stoichiometry: 0 meV per atom
mass density: 7.37 g cm⁻³
electronic total energy: -0.224 Ry/atom

---

The following is a PBE-GGA calculation of an optimized crystal structure of Ca3TbY3S8, from Alexandria.

Cell and atoms, written as extended XYZ:
```
15
Lattice="7.8929 0.0001 -0.0001 -3.9464 6.8348 -0.0243 -0.0001 -4.5341 6.5718" Properties=species:S:1:pos:R:3 pbc="T T T"
Y 1.9732 1.1504 3.2737
Y 3.9464 -2.2670 3.2858
Y -1.9733 1.1504 3.2737
S -0.0001 0.0073 4.8483
S 0.0000 2.2840 1.6648
S 3.9464 0.0168 4.8825
S 5.9277 -1.1378 1.7114
S 1.9812 3.4386 4.8359
S 3.9465 2.2935 1.6990
S 1.9652 -1.1378 1.7115
S -1.9813 3.4386 4.8359
Ca 1.9733 3.4174 -0.0122
Ca 0.0000 0.0000 0.0000
Ca -1.9732 3.4174 -0.0122
Tb -0.0001 -2.2670 3.2859
```

## Properties
energy relative to the elements, uncorrected: -2093 meV per atom
mass density: 3.77 g cm⁻³
electronic total energy: -0.463 Ry/atom

---

The following is a PBE-GGA calculation of an optimized crystal structure of YSc2Re, from Alexandria.

Cell and atoms, written as extended XYZ:
```
4
Lattice="-2.1476 4.8820 -8.4966 -5.1839 3.9207 -7.6416 -3.9119 6.6864 -6.3739" Properties=species:S:1:pos:R:3 pbc="T T T"
Sc -2.8412 3.9141 -5.6889
Sc -0.1653 0.2277 -0.3309
Y -5.4661 7.5302 -10.9446
Re -8.3924 11.5616 -16.8039
```

## Properties
calculated formation energy: 109 kJ/mol of formula units
energy above the lowest structure with this stoichiometry: 271 meV per atom
mass density: 6.53 g cm⁻³
electronic total energy: -0.559 Ry/atom

---

The following is a PBE-GGA calculation of an optimized crystal structure of Tb12In6Ag, from Alexandria.

Cell and atoms, written as extended XYZ:
```
19
Lattice="-8.7398 -1.1471 0.5450 2.7102 -8.4049 0.1003 1.8115 2.3480 8.3188" Properties=species:S:1:pos:R:3 pbc="T T T"
Tb -4.8080 -4.7325 4.1293
Tb 0.5899 -2.4714 4.8349
Tb -1.8722 -4.8043 1.8015
Tb -3.6646 -1.1729 3.8764
Tb -2.3460 -2.3996 7.1626
Tb -7.3973 -3.6608 1.0401
Tb -3.3054 -8.5944 0.8132
Tb -6.8861 0.1615 6.1649
Tb -0.9127 1.3905 8.1509
Tb 3.1791 -3.5431 7.9240
Tb 2.6679 -7.3654 2.7992
Tb -0.5535 -6.0311 5.0877
In 0.1753 -4.2387 7.4759
In -3.0487 -7.1933 3.5843
In -1.1694 -0.0106 5.3798
In 1.0732 -4.6918 2.6731
In -5.2913 -2.5122 6.2910
In -4.3934 -2.9652 1.4882
Ag 0.0000 0.0000 0.0000
```

## Properties
calculated formation energy: -2 kJ/mol of formula units
mass density: 6.90 g cm⁻³
electronic total energy: -0.290 Ry/atom

---

The following is a PBE-GGA calculation of an optimized crystal structure of PrHgPb, from Alexandria.

Cell and atoms, written as extended XYZ:
```
6
Lattice="-3.1756 2.0298 -2.7436 -0.4299 -1.3304 -4.4472 -8.2901 -7.0037 0.4533" Properties=species:S:1:pos:R:3 pbc="T T T"
Pr -2.8681 -1.4680 -1.7270
Pr -9.0276 -4.8363 -5.0106
Pb -5.2753 -3.9257 -0.7590
Pb -6.6204 -2.3787 -5.9785
Hg -2.9422 -0.0835 -4.5773
Hg -8.9534 -6.2208 -2.1602
```

## Properties
calculated formation energy: -66 kJ/mol of formula units
mass density: 9.20 g cm⁻³
electronic total energy: -0.232 Ry/atom

---

The following is a PBE-GGA calculation of an optimized crystal structure of Ce3CdS, from Alexandria.

Cell and atoms, written as extended XYZ:
```
5
Lattice="5.3005 0.0000 0.0000 0.0000 5.3005 0.0000 0.0000 0.0000 5.3005" Properties=species:S:1:pos:R:3 pbc="T T T"
Cd 2.6503 2.6503 2.6503
S 0.0000 0.0000 0.0000
Ce 0.0000 0.0000 2.6503
Ce 2.6503 0.0000 0.0000
Ce 0.0000 2.6503 0.0000
```

## Properties
energy relative to the elements, uncorrected: -627 meV per atom
mass density: 6.30 g cm⁻³
electronic total energy: -0.382 Ry/atom

---

The following is a PBE-GGA calculation of an optimized crystal structure of UPHRu, from Alexandria.

Cell and atoms, written as extended XYZ:
```
8
Lattice="3.9961 0.0000 0.0000 0.0000 3.9961 0.0000 0.0000 0.0000 6.7382" Properties=species:S:1:pos:R:3 pbc="T T T"
H 1.9981 1.9981 3.3691
H 0.0000 0.0000 3.3691
U 0.0000 1.9981 2.3349
U 1.9981 0.0000 4.4033
Ru 0.0000 0.0000 0.0000
Ru 1.9981 1.9981 0.0000
P 1.9981 0.0000 1.3399
P 0.0000 1.9981 5.3983
```

## Properties
mass density: 11.45 g cm⁻³
electronic total energy: -0.588 Ry/atom

---

The following is a PBE-GGA calculation of an optimized crystal structure of Ba2CoAg, from Alexandria.

Cell and atoms, written as extended XYZ:
```
4
Lattice="-5.1562 -1.9968 -3.5940 0.9904 -2.2962 -6.1022 2.4280 -0.9276 6.0609" Properties=species:S:1:pos:R:3 pbc="T T T"
Co -2.0829 -2.1465 -4.8481
Ag -2.4055 -2.5355 -1.1906
Ba 0.0000 0.0000 0.0000
Ba 0.6678 -2.6852 -2.4447
```

## Properties
calculated formation energy: 163 kJ/mol of formula units
energy above the lowest structure with this stoichiometry: 267 meV per atom
mass density: 5.83 g cm⁻³
electronic total energy: -0.223 Ry/atom

---

The following is a PBE-GGA calculation of an optimized crystal structure of CaPr3Nd2, from Alexandria.

Cell and atoms, written as extended XYZ:
```
12
Lattice="7.4178 0.0000 0.0000 -3.7089 4.6270 -2.5132 0.0000 0.7040 12.3039" Properties=species:S:1:pos:R:3 pbc="T T T"
Pr 0.9269 1.9681 6.3668
Pr -0.9270 1.6161 0.2147
Pr 2.7820 3.3630 3.4240
Pr 4.6359 3.7150 9.5760
Pr 4.6381 0.1760 3.0760
Pr -0.9292 5.1551 6.7147
Ca 0.9300 0.1761 3.0760
Ca 2.7789 5.1550 6.7147
Nd 2.7838 1.5667 0.1209
Nd 0.9251 3.7644 9.6699
Nd 4.6340 1.9187 6.2728
Nd -0.9250 3.4124 3.5179
```

## Properties
calculated formation energy: 23 kJ/mol of formula units
energy above the lowest structure with this stoichiometry: 14 meV per atom
mass density: 5.73 g cm⁻³
electronic total energy: -0.314 Ry/atom

---

The following is a PBE-GGA calculation of an optimized crystal structure of Ac2Pm3Tl2, from Alexandria.

Cell and atoms, written as extended XYZ:
```
7
Lattice="4.8225 0.0000 0.0000 -2.4113 6.3766 -0.0747 0.0000 -3.0137 8.2288" Properties=species:S:1:pos:R:3 pbc="T T T"
Tl 2.4113 2.0047 6.4488
Tl 0.0000 1.3582 1.7053
Pm 2.4113 0.3033 3.6475
Pm 2.4113 0.0000 0.0000
Pm 0.0000 3.0596 4.5066
Ac 0.0000 -0.5801 6.4745
Ac 2.4112 3.9430 1.6796
```

## Properties
calculated formation energy: -113 kJ/mol of formula units
mass density: 8.55 g cm⁻³
electronic total energy: -0.298 Ry/atom

---

The following is a PBE-GGA calculation of an optimized crystal structure of Er3H12Rh5, from Alexandria.

Cell and atoms, written as extended XYZ:
```
80
Lattice="9.9510 0.0000 0.0000 -3.3170 9.3819 0.0000 -3.3170 -4.6909 8.1250" Properties=species:S:1:pos:R:3 pbc="T T T"
Er -4.1463 4.6909 6.0937
Er -2.4878 -1.7591 7.1093
Er 2.4878 0.0000 6.0937
Er -2.4878 1.7591 7.1093
Er 4.1463 0.5864 3.0469
Er 0.8293 4.6909 2.0312
Er 7.4633 0.0000 2.0312
Er 5.8048 6.4501 1.0156
Er -0.8293 4.1046 5.0781
Er 2.4878 5.2773 5.0781
Er 0.8293 -0.5864 3.0469
Er 5.8048 2.9318 1.0156
H 0.8755 0.9189 4.7721
H -3.4626 6.7408 3.1819
H 2.9629 -1.3209 2.6565
H -0.3541 0.7054 1.5903
H 2.2330 3.4772 0.7097
H 1.5129 6.4216 3.3661
H 0.3541 6.0119 5.4685
H 4.1924 1.3279 0.8806
H 0.1456 2.9603 3.3661
H 4.1000 -0.9189 4.7721
H 4.6214 5.3065 4.2467
H 3.6711 3.9856 6.5347
H 1.0840 1.2138 7.4153
H -0.5745 5.9047 0.7097
H 2.2330 5.9124 0.6963
H -2.5340 8.0540 0.8806
H -1.0840 -0.0077 6.7190
H -2.9629 4.0754 4.2467
H 6.7796 -2.0498 4.9431
H 2.4415 3.7720 3.3528
H -0.8755 -2.4442 5.6528
H 3.1714 1.7307 4.7588
H 7.4171 2.2468 2.4722
H 7.2086 4.6833 1.4060
H 6.4885 0.9105 0.1843
H -2.0126 5.3963 6.5347
H -1.8041 2.0498 4.9431
H 4.1925 7.1351 2.4722
H 6.2799 0.6156 3.8782
H -4.1001 2.4442 5.6528
H -1.3044 -0.6156 3.8782
H 3.8915 -1.2138 7.4153
H 4.4010 4.6986 1.4060
H 1.3044 3.3700 5.4685
H 1.0840 -1.2215 7.4286
H 5.3296 -0.7054 1.5903
H 1.8041 -1.7307 4.7588
H -0.8754 3.3631 7.2444
H 5.8510 -3.3631 7.2444
H -1.8041 -3.7805 7.9407
H -3.1714 3.7805 7.9407
H -0.5745 3.4695 0.6963
H 3.8915 1.2215 7.4286
H 2.0126 1.3209 2.6565
H -0.7830 5.6099 3.3528
H 5.1211 8.4715 0.1843
H -3.8915 0.0077 6.7190
H 5.1211 2.6411 3.1819
Rh 2.4878 7.0364 2.0312
Rh -1.6585 -2.3455 4.0625
Rh 4.1463 -2.9318 7.1093
Rh -3.3170 2.3455 4.0625
Rh 5.8048 -0.5864 5.0781
Rh -0.8293 7.6228 1.0156
Rh 0.8293 2.9318 7.1093
Rh 0.0000 0.0000 0.0000
Rh 1.6585 2.3455 4.0625
Rh 4.9755 0.0000 0.0000
Rh 3.3170 4.6909 0.0000
Rh -2.4878 5.2773 3.0469
Rh 2.4878 1.7591 1.0156
Rh 4.1463 2.3455 6.0937
Rh -0.8293 0.5864 5.0781
Rh -1.6585 4.6909 0.0000
Rh 0.8293 -2.3455 6.0937
Rh 3.3170 -2.3455 4.0625
Rh 4.1463 4.1046 3.0469
Rh -0.8293 2.3455 2.0312
```

## Properties
mass density: 9.01 g cm⁻³
electronic total energy: -0.362 Ry/atom

---

The following is a PBE-GGA calculation of an optimized crystal structure of Sr2Au3, from Alexandria.

Cell and atoms, written as extended XYZ:
```
5
Lattice="-2.7017 -0.8824 7.3120 -0.7033 -5.0147 5.9918 2.0457 -1.3893 7.4450" Properties=species:S:1:pos:R:3 pbc="T T T"
Sr -0.5604 -3.0044 8.5552
Sr -0.7988 -4.2821 12.1937
Au -0.2199 -1.1789 3.3569
Au -1.1393 -6.1076 17.3920
Au 0.0000 0.0000 0.0000
```

## Properties
calculated formation energy: -347 kJ/mol of formula units
energy above the lowest structure with this stoichiometry: 33 meV per atom
mass density: 8.77 g cm⁻³
electronic total energy: -0.247 Ry/atom

---

The following is a PBE-GGA calculation of an optimized crystal structure of PrMgSiAu, from Alexandria.

Cell and atoms, written as extended XYZ:
```
4
Lattice="5.0063 0.0000 0.0000 2.5031 4.3356 0.0000 2.5031 1.4452 4.0876" Properties=species:S:1:pos:R:3 pbc="T T T"
Pr 2.5031 1.4452 1.0219
Mg 7.5094 4.3356 3.0657
Si 5.0063 2.8904 2.0438
Au 0.0000 0.0000 0.0000
```

## Properties
energy relative to the elements, uncorrected: -489 meV per atom
mass density: 7.30 g cm⁻³
electronic total energy: -0.313 Ry/atom

---

The following is a PBE-GGA calculation of an optimized crystal structure of MgZn3, from Alexandria.

Cell and atoms, written as extended XYZ:
```
24
Lattice="-7.3324 1.0223 -1.6541 1.9823 -3.9235 6.1824 -0.0276 6.8460 4.3535" Properties=species:S:1:pos:R:3 pbc="T T T"
Zn -1.7880 0.4880 2.4332
Zn -4.8959 2.1362 -0.1783
Zn -4.9134 6.7913 2.7824
Zn -2.4621 5.2180 2.5506
Zn 1.2971 3.4938 8.0073
Zn -2.4545 3.0274 1.1572
Zn -1.1447 3.2213 7.0653
Zn -4.2359 1.4469 2.2764
Zn -1.1309 -0.2017 4.8886
Zn 0.6407 3.5705 5.1610
Zn 0.6498 1.3791 3.7689
Zn -1.8076 5.1428 5.3944
Zn -0.0222 5.4999 3.4974
Zn -3.5876 2.9426 6.1215
Zn -0.0084 2.0769 1.3207
Zn 1.3162 -1.1622 5.0480
Zn -4.2497 4.8699 4.4532
Zn -3.5779 0.7524 4.7277
Mg 1.3057 1.1685 6.5252
Mg 0.6600 -0.9493 2.2916
Mg -4.9011 4.4641 1.3033
Mg -3.5664 -1.5733 3.2462
Mg -2.4480 0.7009 -0.3231
Mg -1.8003 2.8148 3.9165
```

## Properties
calculated formation energy: -21 kJ/mol of formula units
mass density: 5.43 g cm⁻³
electronic total energy: -0.103 Ry/atom

---

The following is a PBE-GGA calculation of an optimized crystal structure of KNa2SiTe4, from Alexandria.

Cell and atoms, written as extended XYZ:
```
16
Lattice="9.2423 -0.1204 0.0620 -0.1269 9.2422 0.0620 -4.0823 -4.0852 6.7134" Properties=species:S:1:pos:R:3 pbc="T T T"
Si 5.1599 -4.2056 6.7753
Si 2.5165 2.5183 3.4187
Te 3.2959 -2.4551 6.6051
Te 0.7648 4.3811 3.5888
Te -2.1833 -2.2821 6.3672
Te 4.2683 0.6554 3.2484
Te 1.7373 7.4917 0.2322
Te 0.7148 0.6180 3.7648
Te 7.2163 7.3186 0.4701
Te 4.3183 4.4186 3.0725
Na 2.5800 -2.1028 3.3876
Na -2.0412 -2.0426 3.3567
Na 4.5577 4.5608 0.0620
Na 4.6211 -0.0602 0.0310
K 7.1377 2.4581 3.4496
K -0.0634 4.6211 0.0310
```

## Properties
energy relative to the elements, uncorrected: -321 meV per atom
mass density: 3.58 g cm⁻³
electronic total energy: -0.223 Ry/atom

---

The following is a PBE-GGA calculation of an optimized crystal structure of NpTlGeTe3, from Alexandria.

Cell and atoms, written as extended XYZ:
```
12
Lattice="4.2090 0.0000 0.0000 0.0000 9.5138 -1.1573 0.0000 -4.8317 9.6852" Properties=species:S:1:pos:R:3 pbc="T T T"
Te 3.1568 3.6364 0.6829
Te 3.1568 7.8858 0.6962
Te 1.0523 1.0458 7.8450
Te 1.0523 4.1495 3.9230
Te 1.0523 -3.2036 7.8317
Te 3.1568 0.5326 4.6048
Tl 3.1568 3.4478 6.7247
Tl 1.0523 1.2344 1.8032
Ge 1.0523 -1.4665 4.9216
Ge 3.1568 6.1486 3.6063
Np 3.1568 -1.1173 7.2265
Np 1.0523 5.7995 1.3013
```

## Properties
energy relative to the elements, uncorrected: -315 meV per atom
mass density: 8.18 g cm⁻³
electronic total energy: -0.383 Ry/atom

---

The following is a PBE-GGA calculation of an optimized crystal structure of YFeBr2, from Alexandria.

Cell and atoms, written as extended XYZ:
```
4
Lattice="5.1313 0.0000 0.0000 2.5657 4.4439 0.0000 2.5657 1.4813 4.1897" Properties=species:S:1:pos:R:3 pbc="T T T"
Br 2.5657 1.4813 1.0474
Br 0.0000 0.0000 0.0000
Fe 5.1313 2.9626 2.0949
Y 7.6970 4.4439 3.1423
```

## Properties
energy relative to the elements, uncorrected: 16 meV per atom
energy above the lowest structure with this stoichiometry: 601 meV per atom
mass density: 5.29 g cm⁻³
electronic total energy: -0.335 Ry/atom

---

Density of states at the Fermi level
In order: 4.0; 6.5; 8.7; 1.2; 4.5; 5.2; 23.8; 5.0; 15.0; 9.5; 5.9; 16.9; 9.9; 15.4; 2.0; 2.5; 11.4; 10.7; 21.4; 7.3
Unit: states/eV per cell
Magnetic moment
In order: 0.00; 0.00; 0.67; 0.00; 0.00; 0.72; 0.00; 0.00; 2.35; 1.71; 0.90; 0.00; 0.00; 0.00; 0.00; 0.00; 0.00; 0.00; 3.23; 3.02
Unit: μB per formula unit